# PBE+U Cs2VPbO4, relaxed
# E ... -5.54 eV per atom
data_Cs2VPbO4
_chemical_formula_sum 'Cs16 V8 Pb8 O32'
_cell_length_a 6.362
_cell_length_b 12.758
_cell_length_c 23.067
_cell_angle_alpha 90.00
_cell_angle_beta 90.00
_cell_angle_gamma 90.00
_symmetry_space_group_name_H-M 'F d d d'
_symmetry_Int_Tables_number 70
loop_
_symmetry_equiv_pos_as_xyz
'x,y,z'
'-x,-y,-z'
'-x+1/4,-y+1/4,z'
'x+1/4,y+1/4,-z'
'x,-y+1/4,-z+1/4'
'-x,y+1/4,z+1/4'
'-x+1/4,y,-z+1/4'
'x+1/4,-y,z+1/4'
'x,y+1/2,z+1/2'
'-x,-y+1/2,-z+1/2'
'-x+1/4,-y+3/4,z+1/2'
'x+1/4,y+3/4,-z+1/2'
'x,-y+3/4,-z+3/4'
'-x,y+3/4,z+3/4'
'-x+1/4,y+1/2,-z+3/4'
'x+1/4,-y+1/2,z+3/4'
'x+1/2,y,z+1/2'
'-x+1/2,-y,-z+1/2'
'-x+3/4,-y+1/4,z+1/2'
'x+3/4,y+1/4,-z+1/2'
'x+1/2,-y+1/4,-z+3/4'
'-x+1/2,y+1/4,z+3/4'
'-x+3/4,y,-z+3/4'
'x+3/4,-y,z+3/4'
'x+1/2,y+1/2,z'
'-x+1/2,-y+1/2,-z'
'-x+3/4,-y+3/4,z'
'x+3/4,y+3/4,-z'
'x+1/2,-y+3/4,-z+1/4'
'-x+1/2,y+3/4,z+1/4'
'-x+3/4,y+1/2,-z+1/4'
'x+3/4,-y+1/2,z+1/4'
loop_
_atom_site_label
_atom_site_fract_x
_atom_site_fract_y
_atom_site_fract_z
Cs1 0.125 0.125 0.308
V1 0.125 0.125 0.625
Pb1 0.125 0.125 0.125
O1 0.042 0.293 0.835